Computed, not measured: IrRh2Cl after structural relaxation at the GGA-PBE level of DFT.

Cell lengths 2.823, 2.823, 8.926 Å; angles 90.00, 90.00, 121.94 degrees
Element x y z (fractional)
Ir  0.000  0.000  0.000
Rh  0.000  0.000  0.510
Rh  0.500  0.500  0.253
Cl  0.500  0.500  0.749

Summary:
**Space group**: Cmm2, No. 35
**Spin magnetization**: 0.0 μB per formula unit
**Formation energy from raw total energies**: 0.51 eV/atom
**E_tot**: -5.844 eV/atom